No. 1
Computed, not measured: crystalline HoIn3 at its relaxed geometry at the GGA-PBE level of DFT.

## Properties
total magnetic moment	0.000	μB per formula unit

abc: 4.627 4.629 4.628
angles: 90.00 90.00 90.00
Atoms (fractional coordinates):
Ho 0.000 0.500 0.417
In 0.000 0.000 0.917
In 0.500 0.000 0.417
In 0.500 0.500 0.916

***

No. 2
Computed, not measured: crystalline HoIn2 at its relaxed geometry at the GGA-PBE level of DFT.

## Properties
total magnetic moment	0.394	μB per formula unit

abc: 3.575 3.575 6.615
angles: 104.52 104.52 94.05
Atoms (fractional coordinates):
Ho 0.500 0.500 0.000
In 0.172 0.172 0.345
In 0.828 0.828 0.655

***

No. 3
Computed, not measured: crystalline Ho3In at its relaxed geometry at the GGA-PBE level of DFT.

## Properties
offset from the most stable computed form	0.000	eV per formula unit
total magnetic moment	0.002	μB per formula unit

abc: 4.821 4.821 4.821
angles: 90.00 90.00 90.00
Atoms (fractional coordinates):
Ho 0.000 0.500 0.500
Ho 0.500 0.000 0.500
Ho 0.500 0.500 0.000
In 0.000 0.000 0.000

***

No. 4
Computed, not measured: crystalline Ho5In6 at its relaxed geometry at the GGA-PBE level of DFT.

## Properties
total magnetic moment	0.000	μB per formula unit

abc: 5.239 7.322 9.049
angles: 113.87 106.83 90.00
Atoms (fractional coordinates):
Ho 0.000 0.500 0.000
Ho 0.659 0.659 0.318
Ho 0.341 0.341 0.682
Ho 0.322 0.822 0.643
Ho 0.678 0.178 0.357
In 0.500 0.788 0.000
In 0.500 0.212 0.000
In 0.845 0.074 0.689
In 0.845 0.615 0.689
In 0.155 0.926 0.311
In 0.155 0.385 0.311

***

No. 5
Computed, not measured: crystalline HoIn3 at its relaxed geometry at the GGA-PBE level of DFT.

## Properties
total magnetic moment	0.000	μB per formula unit

abc: 4.498 4.498 5.924
angles: 112.31 112.31 90.00
Atoms (fractional coordinates):
Ho 0.000 0.000 0.000
In 0.750 0.250 0.500
In 0.250 0.750 0.500
In 0.500 0.500 0.000

***

No. 6
Computed, not measured: crystalline Ho8InIr2 at its relaxed geometry at the GGA-PBE level of DFT.

## Properties
total magnetic moment	0.002	μB per formula unit

abc: 5.421 7.904 7.904
angles: 112.94 97.47 97.47
Atoms (fractional coordinates):
Ho 0.575 0.332 0.072
Ho 0.575 0.072 0.332
Ho 0.200 0.390 0.390
Ho 0.000 0.251 0.755
Ho 0.000 0.755 0.251
Ho 0.801 0.617 0.617
Ho 0.424 0.934 0.674
Ho 0.424 0.674 0.934
In 0.000 0.003 0.003
Ir 0.500 0.692 0.314
Ir 0.500 0.314 0.692

***

No. 7
Computed, not measured: crystalline Ho4InIr at its relaxed geometry at the GGA-PBE level of DFT.

## Properties
offset from the most stable computed form	1.158	eV per formula unit
total magnetic moment	0.000	μB per formula unit

abc: 4.885 4.886 7.319
angles: 89.94 89.97 90.00
Atoms (fractional coordinates):
Ho 0.501 0.997 0.275
Ho 0.501 0.998 0.721
Ho 0.002 0.498 0.721
Ho 0.001 0.497 0.275
In 0.501 0.497 0.998
Ir 0.001 0.997 0.498

***

No. 8
Computed, not measured: crystalline Ho2In2Ir at its relaxed geometry at the GGA-PBE level of DFT.

## Properties
total magnetic moment	0.000	μB per formula unit

abc: 3.458 3.458 10.286
angles: 99.68 99.68 90.00
Atoms (fractional coordinates):
Ho 0.582 0.582 0.164
Ho 0.418 0.418 0.836
In 0.801 0.801 0.602
In 0.199 0.199 0.398
Ir 0.000 0.000 0.000

***

No. 9
Computed, not measured: crystalline Ho2In8Ir at its relaxed geometry at the GGA-PBE level of DFT.

## Properties
total magnetic moment	0.000	μB per formula unit

abc: 4.658 4.658 12.113
angles: 90.00 90.00 90.00
Atoms (fractional coordinates):
Ho 0.000 0.000 0.308
Ho 0.000 0.000 0.692
In 0.000 0.500 0.500
In 0.500 0.000 0.500
In 0.500 0.500 0.309
In 0.500 0.500 0.691
In 0.000 0.500 0.123
In 0.500 0.000 0.123
In 0.000 0.500 0.877
In 0.500 0.000 0.877
Ir 0.000 0.000 0.000

***

No. 10
Computed, not measured: crystalline Ho7In2Ir2 at its relaxed geometry at the GGA-PBE level of DFT.

## Properties
total magnetic moment	0.000	μB per formula unit

abc: 6.804 7.045 6.804
angles: 90.00 105.94 90.00
Atoms (fractional coordinates):
Ho 0.000 0.248 0.500
Ho 0.500 0.752 0.000
Ho 0.000 0.752 0.500
Ho 0.500 0.248 0.000
Ho 0.000 0.000 0.000
Ho 0.500 0.759 0.500
Ho 0.500 0.241 0.500
In 0.824 0.500 0.824
In 0.176 0.500 0.176
Ir 0.713 0.000 0.287
Ir 0.287 0.000 0.713

***

No. 11
Computed, not measured: crystalline Ho5In2Ir at its relaxed geometry at the GGA-PBE level of DFT.

## Properties
offset from the most stable computed form	0.000	eV per formula unit
total magnetic moment	0.000	μB per formula unit

abc: 4.822 7.098 12.430
angles: 90.00 90.00 90.00
Atoms (fractional coordinates):
Ho 0.500 0.324 0.081
Ho 0.500 0.676 0.919
Ho 0.500 0.824 0.419
Ho 0.500 0.176 0.581
Ho 0.000 0.874 0.710
Ho 0.000 0.126 0.290
Ho 0.000 0.374 0.790
Ho 0.000 0.626 0.210
Ho 0.000 0.500 0.500
Ho 0.000 0.000 0.000
In 0.500 0.404 0.338
In 0.500 0.596 0.662
In 0.500 0.096 0.838
In 0.500 0.904 0.162
Ir 0.000 0.000 0.500
Ir 0.000 0.500 0.000

***

No. 12
Computed, not measured: crystalline Ho8In2Ir at its relaxed geometry at the GGA-PBE level of DFT.

## Properties
total magnetic moment	0.000	μB per formula unit

abc: 5.089 6.640 9.796
angles: 105.85 105.06 90.00
Atoms (fractional coordinates):
Ho 0.411 0.558 0.822
Ho 0.645 0.979 0.291
Ho 0.787 0.689 0.574
Ho 0.980 0.215 0.961
Ho 0.213 0.311 0.426
Ho 0.355 0.021 0.709
Ho 0.589 0.442 0.178
Ho 0.020 0.785 0.039
In 0.818 0.255 0.636
In 0.182 0.745 0.364
Ir 0.500 0.000 0.000

***

No. 13
Computed, not measured: crystalline Ho5In2Ir at its relaxed geometry at the GGA-PBE level of DFT.

## Properties
offset from the most stable computed form	3.114	eV per formula unit
total magnetic moment	0.000	μB per formula unit

abc: 5.536 8.563 12.231
angles: 90.00 90.00 108.86
Atoms (fractional coordinates):
Ho 0.929 0.858 0.898
Ho 0.929 0.858 0.602
Ho 0.294 0.588 0.432
Ho 0.294 0.588 0.068
Ho 0.699 0.399 0.250
Ho 0.301 0.601 0.750
Ho 0.706 0.412 0.568
Ho 0.706 0.412 0.932
Ho 0.071 0.142 0.102
Ho 0.071 0.142 0.398
In 0.876 0.751 0.367
In 0.876 0.751 0.133
In 0.124 0.249 0.633
In 0.124 0.249 0.867
Ir 0.809 0.618 0.750
Ir 0.191 0.382 0.250

***

No. 14
Computed, not measured: crystalline HoInIr2 at its relaxed geometry at the GGA-PBE level of DFT.

## Properties
total magnetic moment	0.000	μB per formula unit

abc: 3.406 3.406 6.386
angles: 90.00 90.00 90.00
Atoms (fractional coordinates):
Ir 0.000 0.000 0.763
Ir 0.000 0.000 0.237
Ho 0.500 0.500 0.500
In 0.500 0.500 0.000

***

No. 15
Computed, not measured: crystalline Ho4InIr at its relaxed geometry at the GGA-PBE level of DFT.

## Properties
offset from the most stable computed form	0.000	eV per formula unit
total magnetic moment	0.000	μB per formula unit

abc: 9.620 9.620 9.620
angles: 60.00 60.00 60.00
Atoms (fractional coordinates):
Ho 0.440 0.440 0.060
Ho 0.651 0.651 0.047
Ho 0.192 0.808 0.192
Ho 0.060 0.440 0.060
Ho 0.192 0.808 0.808
Ho 0.060 0.440 0.440
Ho 0.808 0.192 0.192
Ho 0.651 0.651 0.651
Ho 0.808 0.192 0.808
Ho 0.192 0.192 0.808
Ho 0.047 0.651 0.651
Ho 0.440 0.060 0.060
Ho 0.060 0.060 0.440
Ho 0.651 0.047 0.651
Ho 0.808 0.808 0.192
Ho 0.440 0.060 0.440
In 0.417 0.417 0.417
In 0.417 0.417 0.750
In 0.417 0.750 0.417
In 0.750 0.417 0.417
Ir 0.423 0.859 0.859
Ir 0.859 0.859 0.859
Ir 0.859 0.423 0.859
Ir 0.859 0.859 0.423

***

No. 16
Computed, not measured: crystalline Ho2InIr2 at its relaxed geometry at the GGA-PBE level of DFT.

## Properties
total magnetic moment	0.000	μB per formula unit

abc: 5.451 5.779 8.191
angles: 105.58 90.00 118.14
Atoms (fractional coordinates):
Ho 0.486 0.291 0.148
Ho 0.194 0.709 0.352
Ho 0.514 0.709 0.852
Ho 0.806 0.291 0.648
In 0.840 0.000 0.250
In 0.160 0.000 0.750
Ir 0.704 0.718 0.487
Ir 0.987 0.282 0.013
Ir 0.296 0.282 0.513
Ir 0.013 0.718 0.987

***

No. 17
Computed, not measured: crystalline Ho3InIr8 at its relaxed geometry at the GGA-PBE level of DFT.

## Properties
total magnetic moment	0.000	μB per formula unit

abc: 5.330 5.330 9.247
angles: 73.25 73.25 60.00
Atoms (fractional coordinates):
Ho 0.376 0.376 0.873
Ho 0.996 0.996 0.011
Ho 0.503 0.503 0.491
In 0.874 0.874 0.379
Ir 0.939 0.437 0.186
Ir 0.437 0.937 0.688
Ir 0.437 0.437 0.186
Ir 0.937 0.937 0.688
Ir 0.188 0.188 0.437
Ir 0.688 0.688 0.936
Ir 0.437 0.939 0.186
Ir 0.937 0.437 0.688

***

No. 18
Computed, not measured: crystalline Ho3InIr at its relaxed geometry at the GGA-PBE level of DFT.

## Properties
offset from the most stable computed form	0.000	eV per formula unit
total magnetic moment	0.000	μB per formula unit

abc: 5.788 5.788 8.816
angles: 101.89 101.89 111.87
Atoms (fractional coordinates):
Ho 0.298 0.798 0.096
Ho 0.702 0.202 0.904
Ho 0.080 0.199 0.279
Ho 0.920 0.801 0.721
Ho 0.699 0.580 0.279
Ho 0.301 0.420 0.721
In 0.712 0.212 0.500
In 0.288 0.788 0.500
Ir 0.250 0.250 0.000
Ir 0.750 0.750 0.000

***

No. 19
Computed, not measured: crystalline Ho5InIr2 at its relaxed geometry at the GGA-PBE level of DFT.

## Properties
total magnetic moment	0.000	μB per formula unit

abc: 7.761 7.761 8.695
angles: 116.50 116.50 90.00
Atoms (fractional coordinates):
Ho 0.527 0.708 0.735
Ho 0.792 0.973 0.265
Ho 0.000 0.000 0.000
Ho 0.500 0.500 0.000
Ho 0.208 0.027 0.735
Ho 0.708 0.208 0.735
Ho 0.027 0.527 0.735
Ho 0.292 0.792 0.265
Ho 0.973 0.473 0.265
Ho 0.473 0.292 0.265
In 0.750 0.750 0.500
In 0.250 0.250 0.500
Ir 0.140 0.360 0.000
Ir 0.640 0.140 0.000
Ir 0.360 0.860 0.000
Ir 0.860 0.640 0.000

***

No. 20
Computed, not measured: crystalline HoIn9Ir2 at its relaxed geometry at the GGA-PBE level of DFT.

## Properties
total magnetic moment	0.000	μB per formula unit

abc: 7.189 9.480 9.480
angles: 81.73 67.72 67.72
Atoms (fractional coordinates):
Ho 0.500 0.000 0.000
Ho 0.250 0.500 0.500
In 0.750 0.500 0.500
In 0.000 0.000 0.000
In 0.972 0.939 0.700
In 0.611 0.061 0.300
In 0.661 0.200 0.561
In 0.422 0.800 0.439
In 0.778 0.800 0.561
In 0.139 0.200 0.439
In 0.089 0.939 0.300
In 0.328 0.061 0.700
In 0.778 0.561 0.800
In 0.139 0.439 0.200
In 0.089 0.300 0.939
In 0.328 0.700 0.061
In 0.972 0.700 0.939
In 0.611 0.300 0.061
In 0.661 0.561 0.200
In 0.422 0.439 0.800
Ir 0.875 0.250 0.750
Ir 0.875 0.750 0.250
Ir 0.875 0.250 0.250
Ir 0.375 0.750 0.750

***

No. 21
Computed, not measured: crystalline Ho3InIr at its relaxed geometry at the GGA-PBE level of DFT.

## Properties
offset from the most stable computed form	0.489	eV per formula unit
total magnetic moment	0.000	μB per formula unit

abc: 5.379 5.090 9.920
angles: 104.87 94.98 90.00
Atoms (fractional coordinates):
Ho 0.731 0.946 0.892
Ho 0.269 0.054 0.108
Ho 0.358 0.659 0.319
Ho 0.642 0.341 0.681
Ho 0.171 0.822 0.643
Ho 0.829 0.178 0.357
In 0.201 0.446 0.892
In 0.799 0.554 0.108
Ir 0.331 0.213 0.425
Ir 0.669 0.787 0.575

***

No. 22
Computed, not measured: crystalline HoInIr2 at its relaxed geometry at the GGA-PBE level of DFT.

## Properties
total magnetic moment	0.000	μB per formula unit

abc: 3.663 4.463 4.463
angles: 90.00 90.00 90.00
Atoms (fractional coordinates):
Ir 0.000 0.000 0.500
Ir 0.000 0.500 0.000
Ho 0.500 0.500 0.500
In 0.500 0.000 0.000

***

Number 1: DOS(E_F) 1.5 states/eV/f.u., calculated formation energy -399.8 meV/atom. Number 2: DOS(E_F) 2.2 states/eV/f.u., calculated formation energy -254.6 meV/atom. Number 3: DOS(E_F) 5.7 states/eV/f.u., calculated formation energy -264.6 meV/atom. Number 4: DOS(E_F) 8.2 states/eV/f.u., calculated formation energy -375.9 meV/atom. Number 5: DOS(E_F) 2.8 states/eV/f.u., calculated formation energy -327.2 meV/atom. Number 6: DOS(E_F) 12.0 states/eV/f.u., calculated formation energy -443.0 meV/atom. Number 7: DOS(E_F) 6.3 states/eV/f.u., calculated formation energy -401.2 meV/atom. Number 8: DOS(E_F) 3.7 states/eV/f.u., calculated formation energy -510.0 meV/atom. Number 9: DOS(E_F) 5.7 states/eV/f.u., calculated formation energy -355.2 meV/atom. Number 10: DOS(E_F) 10.5 states/eV/f.u., calculated formation energy -474.4 meV/atom. Number 11: DOS(E_F) 6.1 states/eV/f.u., calculated formation energy -522.2 meV/atom. Number 12: DOS(E_F) 10.4 states/eV/f.u., calculated formation energy -351.7 meV/atom. Number 13: DOS(E_F) 8.4 states/eV/f.u., calculated formation energy -132.9 meV/atom. Number 14: DOS(E_F) 2.8 states/eV/f.u., calculated formation energy -462.4 meV/atom. Number 15: DOS(E_F) 3.7 states/eV/f.u., calculated formation energy -594.2 meV/atom. Number 16: DOS(E_F) 3.6 states/eV/f.u., calculated formation energy -763.2 meV/atom. Number 17: DOS(E_F) 14.0 states/eV/f.u., calculated formation energy -605.9 meV/atom. Number 18: DOS(E_F) 3.6 states/eV/f.u., calculated formation energy -589.4 meV/atom. Number 19: DOS(E_F) 7.4 states/eV/f.u., calculated formation energy -685.1 meV/atom. Number 20: DOS(E_F) 6.3 states/eV/f.u., calculated formation energy -15.1 meV/atom. Number 21: DOS(E_F) 2.5 states/eV/f.u., calculated formation energy -491.7 meV/atom. Number 22: DOS(E_F) 0.6 states/eV/f.u., calculated formation energy -552.3 meV/atom.